Record 1
Computed, not measured: a geometry-optimized K2LaCu structure at the GGA-PBE level of DFT.

Structure (POSCAR):
```
K2LaCu
1.0
3.7820 0.0000 0.0000
0.0000 6.0482 0.0000
0.0000 0.0000 6.7402
Cu K La
1 2 1
direct
0.5000 0.5000 0.7500
0.0000 0.0000 0.9777
0.0000 0.0000 0.5223
0.5000 0.5000 0.2500
```

Summary:
- raw total energy (eV per atom) = -2.185
- relative energy among the computed polymorphs (meV per atom) = 458
- formation energy (meV per atom) = 620
- magnetization (μB/f.u.) = 0.20
- Fermi-level density of states (states/eV/cell) = 4.96


Record 2
Computed, not measured: a geometry-optimized AlTePtI2 structure at the GGA-PBE level of DFT.

Structure (POSCAR):
```
AlTePtI2
1.0
-3.6767 2.6563 -2.7295
-3.2494 -4.1668 0.3220
-2.0837 1.9917 4.7451
I Te Al Pt
2 1 1 1
direct
0.0000 0.5000 0.0000
0.5000 0.0000 0.0000
0.0000 0.0000 0.5000
0.0000 0.0000 0.0000
0.5000 0.5000 0.5000
```

Summary:
- raw total energy (eV per atom) = -2.482
- relative energy among the computed polymorphs (meV per atom) = 475
- magnetization (μB/f.u.) = 0.89
- formation energy (no corrections) (kJ/mol of formula units) = 349
- Fermi-level density of states (states/eV/cell) = 7.97


Record 3
Computed, not measured: a geometry-optimized K3PaF6 structure at the GGA-PBE level of DFT.

Structure (POSCAR):
```
K3PaF6
1.0
-1.0438 5.3435 3.2088
1.5988 -3.5404 4.9848
5.5005 0.6698 -4.8340
K Pa F
3 1 6
direct
0.7500 0.2500 0.5000
0.5000 0.5000 0.0000
0.2500 0.7500 0.5000
0.0000 0.0000 0.0000
0.6757 0.6757 0.7541
0.9216 0.9216 0.2459
0.0784 0.0784 0.7541
0.3243 0.3243 0.2459
0.7668 0.2332 0.0000
0.2332 0.7668 0.0000
```

Summary:
- raw total energy (eV per atom) = -5.433
- magnetization (μB/f.u.) = 1.20
- formation energy (no corrections) (kJ/mol of formula units) = -2925
- Fermi-level density of states (states/eV/cell) = 4.07


Record 4
Computed, not measured: a geometry-optimized DyPuSn structure at the GGA-PBE level of DFT.

Structure (POSCAR):
```
DyPuSn
1.0
3.8804 0.0000 0.0000
0.0000 3.8804 0.0000
-1.9402 -1.9402 11.7626
Dy Pu Sn
2 2 2
direct
0.5749 0.5749 0.1499
0.4251 0.4251 0.8501
0.2844 0.2844 0.5688
0.7156 0.7156 0.4312
0.1439 0.1439 0.2879
0.8561 0.8561 0.7121
```

Summary:
- raw total energy (eV per atom) = -7.793
- relative energy among the computed polymorphs (meV per atom) = 329
- formation energy (meV per atom) = -147
- magnetization (μB/f.u.) = 5.58
- Fermi-level density of states (states/eV/cell) = 14.36


Record 5
Computed, not measured: a geometry-optimized Rb3CaTl2Br6 structure at the GGA-PBE level of DFT.

Structure (POSCAR):
```
Rb3CaTl2Br6
1.0
8.2966 0.5678 -0.0178
-3.6545 7.4700 -0.0178
-1.5623 -2.7051 7.4456
Rb Ca Tl Br
3 1 2 6
direct
0.1849 0.8151 0.5000
0.8151 0.1849 0.5000
0.5000 0.5000 0.5000
0.0000 0.0000 0.0000
0.3582 0.6418 0.0000
0.6418 0.3582 0.0000
0.9477 0.6377 0.7748
0.8155 0.8155 0.2206
0.0523 0.3623 0.2252
0.6377 0.9477 0.7748
0.1845 0.1845 0.7794
0.3623 0.0523 0.2252
```

Summary:
- raw total energy (eV per atom) = -3.039
- magnetization (μB/f.u.) = 0.03
- formation energy (no corrections) (kJ/mol of formula units) = -1620
- Fermi-level density of states (states/eV/cell) = 3.99


Record 6
Computed, not measured: a geometry-optimized TiZnIn3 structure at the GGA-PBE level of DFT.

Structure (POSCAR):
```
TiZnIn3
1.0
-1.5209 -4.8285 -0.3603
3.8976 -1.4450 2.9116
-2.8727 0.5958 4.1412
Zn Ti In
1 1 3
direct
0.0000 0.0000 0.0000
0.5000 0.5000 0.5000
0.0000 0.5000 0.0000
0.0000 0.0000 0.5000
0.5000 0.0000 0.0000
```

Summary:
- raw total energy (eV per atom) = -2.781
- relative energy among the computed polymorphs (meV per atom) = 92
- formation energy (meV per atom) = 696
- magnetization (μB/f.u.) = 0.00
- Fermi-level density of states (states/eV/cell) = 5.44


Across the entries above, calculated volume takes the values 38.54 31.12 23.94 29.52 39.68 26.14 A^3/atom, respectively.